(1)
The following is a PBEsol calculation of a relaxed Os2PtW crystal, from Alexandria via LeMat-Bulk.

Its formation energy from the elements is -0.012 eV per atom.

The structure belongs to space group Pmm2 (No. 25); the cell edges are 2.726, 3.902 and 5.491 Å and the angles 90.00°, 90.00° and 90.00°. The inequivalent atoms are Os at (0.000, 0.000, 0.000), Os at (0.500, 0.500, 0.219), Pt at (0.000, 0.000, 0.488) and W at (0.500, 0.500, 0.747).

(2)
The following is a PBEsol calculation of a relaxed Os2PtW crystal, from Alexandria via LeMat-Bulk.

Its formation energy from the elements is 0.028 eV per atom.

The structure belongs to space group P2/m (No. 10); the cell edges are 4.731, 2.746 and 4.764 Å and the angles 90.00°, 110.18° and 90.00°. The inequivalent atoms are Os at (0.000, 0.000, 0.000), Os at (0.000, 0.500, 0.500), Pt at (0.500, 0.000, 0.500) and W at (0.500, 0.500, 0.000).

(3)
The following is a PBEsol calculation of a relaxed Os2PtW crystal, from Alexandria via LeMat-Bulk.

Its formation energy from the elements is -0.090 eV per atom.

The structure belongs to space group P4/mmm (No. 123); the cell edges are 3.897, 3.897 and 3.810 Å and the angles 90.00°, 90.00° and 90.00°. The inequivalent atoms are Os at (0.000, 0.500, 0.000), Pt at (0.000, 0.000, 0.500) and W at (0.500, 0.500, 0.500).

(4)
The following is a PBEsol calculation of a relaxed OsPtW2 crystal, from Alexandria via LeMat-Bulk.

Its formation energy from the elements is -0.111 eV per atom.

The structure belongs to space group Pmm2 (No. 25); the cell edges are 2.772, 4.461 and 4.825 Å and the angles 90.00°, 90.00° and 90.00°. The inequivalent atoms are Os at (0.000, 0.000, 0.000), Pt at (0.000, 0.500, 0.651), W at (0.500, 0.000, 0.495) and W at (0.500, 0.500, 0.153).

(5)
The following is a PBEsol calculation of a relaxed OsPtW2 crystal, from Alexandria via LeMat-Bulk.

Its formation energy from the elements is -0.149 eV per atom.

The structure belongs to space group I4/mmm (No. 139); the cell edges are 3.904, 3.904 and 7.810 Å and the angles 90.00°, 90.00° and 90.00°. The inequivalent atoms are Os at (0.000, 0.000, 0.000), Pt at (0.000, 0.000, 0.500) and W at (0.000, 0.500, 0.250).

(6)
The following is a PBEsol calculation of a relaxed YOsPt2 crystal, from Alexandria via LeMat-Bulk.

Its formation energy from the elements is -0.224 eV per atom.

The structure belongs to space group I-4m2 (No. 119); the cell edges are 4.043, 4.043 and 8.159 Å and the angles 90.00°, 90.00° and 90.00°. The inequivalent atoms are Y at (0.000, 0.000, 0.000), Os at (0.000, 0.500, 0.250), Pt at (0.000, 0.000, 0.500) and Pt at (0.000, 0.500, 0.750).

(7)
The following is a PBEsol calculation of a relaxed YOsPt2 crystal, from Alexandria via LeMat-Bulk.

Its formation energy from the elements is -0.143 eV per atom.

The structure belongs to space group P4/mmm (No. 123); the cell edges are 2.839, 2.839 and 8.208 Å and the angles 90.00°, 90.00° and 90.00°. The inequivalent atoms are Y at (0.000, 0.000, 0.000), Os at (0.000, 0.000, 0.500) and Pt at (0.500, 0.500, 0.273).

(8)
The following is a PBEsol calculation of a relaxed YOs2Pt crystal, from Alexandria via LeMat-Bulk.

Its formation energy from the elements is -0.005 eV per atom.

The structure belongs to space group P4/mmm (No. 123); the cell edges are 3.943, 3.943 and 4.184 Å and the angles 90.00°, 90.00° and 90.00°. The inequivalent atoms are Y at (0.000, 0.000, 0.000), Os at (0.000, 0.500, 0.500) and Pt at (0.500, 0.500, 0.000).

(9)
The following is a PBEsol calculation of a relaxed YOs2Pt crystal, from Alexandria via LeMat-Bulk.

Its formation energy from the elements is 0.167 eV per atom.

The structure belongs to space group I4/mmm (No. 139); the cell edges are 3.975, 3.975 and 8.302 Å and the angles 90.00°, 90.00° and 90.00°. The inequivalent atoms are Y at (0.000, 0.000, 0.000), Os at (0.000, 0.500, 0.250) and Pt at (0.000, 0.000, 0.500).

(10)
The following is a PBEsol calculation of a relaxed YOs2Pt crystal, from Alexandria via LeMat-Bulk.

Its formation energy from the elements is -0.083 eV per atom.

The structure belongs to space group P4mm (No. 99); the cell edges are 2.866, 2.866 and 8.007 Å and the angles 90.00°, 90.00° and 90.00°. The inequivalent atoms are Y at (0.000, 0.000, 0.000), Os at (0.000, 0.000, 0.485), Os at (0.500, 0.500, 0.283) and Pt at (0.500, 0.500, 0.727).

(11)
The following is a PBEsol calculation of a relaxed PuOs2 crystal, from Alexandria via LeMat-Bulk.

Its formation energy from the elements is 0.076 eV per atom.

The structure belongs to space group P6_3/mmc (No. 194); the cell edges are 5.2725, 5.2725 and 8.6133 Å and the angles 90.00°, 90.00° and 120.00°. The inequivalent atoms are Pu at (0.3333, 0.6667, 0.0689), Os at (0.0000, 0.0000, 0.0000) and Os at (0.1708, 0.3415, 0.7500).

(12)
The following is a PBEsol calculation of a relaxed RbRe2TcOs crystal, from Alexandria via LeMat-Bulk.

Its formation energy from the elements is 4.273 eV per atom.

The structure belongs to space group P4/mmm (No. 123); the cell edges are 4.551, 4.551 and 4.537 Å and the angles 90.00°, 90.00° and 90.00°. The inequivalent atoms are Rb at (0.000, 0.000, 0.000), Re at (0.000, 0.500, 0.000), Tc at (0.500, 0.500, 0.500) and Os at (0.000, 0.000, 0.500).

no.,density of states at the Fermi level (states/eV/f.u.)
1,2.89
2,3.73
3,1.52
4,3.39
5,1.95
6,6.68
7,4.03
8,4.61
9,4.47
10,2.04
11,7.89
12,5.31